The following is a PBE calculation of an optimized crystal structure of Pr3PuTh2P6, from the Alexandria database.

## Properties
- Energy of formation from the pure elements: -1.486 eV/atom
- Space group: C2/m, No. 12

CIF file:
```
data_Pr3PuTh2P6
_space_group_name_H-M_alt 'P 1'
_space_group_IT_number 1
_cell_length_a 9.297
_cell_length_b 9.297
_cell_length_c 8.304
_cell_angle_alpha 103.06
_cell_angle_beta 103.06
_cell_angle_gamma 25.84
loop_
_space_group_symop_operation_xyz
'x,y,z'
loop_
_atom_site_label
_atom_site_type_symbol
_atom_site_fract_x
_atom_site_fract_y
_atom_site_fract_z
Pr1 Pr 0.000 0.000 0.000
Pr2 Pr 0.334 0.334 0.666
Pr3 Pr 0.666 0.666 0.334
Pu1 Pu 0.000 0.000 0.500
Th1 Th 0.335 0.335 0.170
Th2 Th 0.665 0.665 0.830
P1 P 0.164 0.164 0.586
P2 P 0.169 0.169 0.079
P3 P 0.499 0.499 0.260
P4 P 0.501 0.501 0.740
P5 P 0.831 0.831 0.921
P6 P 0.836 0.836 0.414
```



The following is a PBE calculation of an optimized crystal structure of Pr2PuThP4, from the Alexandria database.

## Properties
- Energy of formation from the pure elements: -1.449 eV/atom
- Space group: P2/m, No. 10

CIF file:
```
data_Pr2PuThP4
_space_group_name_H-M_alt 'P 1'
_space_group_IT_number 1
_cell_length_a 7.160
_cell_length_b 4.145
_cell_length_c 7.184
_cell_angle_alpha 90.00
_cell_angle_beta 109.51
_cell_angle_gamma 90.00
loop_
_space_group_symop_operation_xyz
'x,y,z'
loop_
_atom_site_label
_atom_site_type_symbol
_atom_site_fract_x
_atom_site_fract_y
_atom_site_fract_z
Pr1 Pr 0.000 0.000 0.000
Pr2 Pr 0.500 0.500 0.000
Pu1 Pu 0.000 0.500 0.500
Th1 Th 0.500 0.000 0.500
P1 P 0.241 0.000 0.737
P2 P 0.250 0.500 0.259
P3 P 0.750 0.500 0.741
P4 P 0.759 0.000 0.263
```



The following is a PBE calculation of an optimized crystal structure of PrPuTh2P4, from the Alexandria database.

## Properties
- Energy of formation from the pure elements: -1.460 eV/atom
- Space group: P2/m, No. 10

CIF file:
```
data_PrPuTh2P4
_space_group_name_H-M_alt 'P 1'
_space_group_IT_number 1
_cell_length_a 7.138
_cell_length_b 4.145
_cell_length_c 7.163
_cell_angle_alpha 90.00
_cell_angle_beta 109.64
_cell_angle_gamma 90.00
loop_
_space_group_symop_operation_xyz
'x,y,z'
loop_
_atom_site_label
_atom_site_type_symbol
_atom_site_fract_x
_atom_site_fract_y
_atom_site_fract_z
Pr1 Pr 0.000 0.000 0.000
Pu1 Pu 0.000 0.500 0.500
Th1 Th 0.500 0.000 0.500
Th2 Th 0.500 0.500 0.000
P1 P 0.247 0.000 0.744
P2 P 0.253 0.500 0.256
P3 P 0.747 0.500 0.744
P4 P 0.753 0.000 0.256
```



The following is a PBE calculation of an optimized crystal structure of PrTmPu2P4, from the Alexandria database.

## Properties
- Energy of formation from the pure elements: -1.307 eV/atom
- Space group: P2/m, No. 10

CIF file:
```
data_PrTmPu2P4
_space_group_name_H-M_alt 'P 1'
_space_group_IT_number 1
_cell_length_a 6.968
_cell_length_b 4.042
_cell_length_c 6.983
_cell_angle_alpha 90.00
_cell_angle_beta 109.65
_cell_angle_gamma 90.00
loop_
_space_group_symop_operation_xyz
'x,y,z'
loop_
_atom_site_label
_atom_site_type_symbol
_atom_site_fract_x
_atom_site_fract_y
_atom_site_fract_z
Pr1 Pr 0.000 0.000 0.000
Tm1 Tm 0.000 0.500 0.500
Pu1 Pu 0.500 0.000 0.500
Pu2 Pu 0.500 0.500 0.000
P1 P 0.256 0.000 0.745
P2 P 0.262 0.500 0.263
P3 P 0.738 0.500 0.737
P4 P 0.744 0.000 0.255
```